A:
The following is a PBE calculation of a relaxed TbPr8Mg2 crystal, from the Alexandria database. Values from VASP.

Computed properties:
total magnetic moment: 0.00 μB/cell
D(E_F): 16.219 states/eV/f.u.

Cell and atoms, written as Quantum ESPRESSO input:
```
&SYSTEM
  ibrav = 0, nat = 11, ntyp = 3
/
ATOMIC_SPECIES
Tb 158.93 Tb.upf
Pr 140.91 Pr.upf
Mg 24.30 Mg.upf
ATOMIC_POSITIONS angstrom
Tb 2.518 0.000 -0.724
Pr 2.600 3.648 -0.437
Pr 1.514 0.717 5.266
Pr 0.533 1.641 1.854
Pr -0.376 5.738 -1.308
Pr 3.617 6.497 3.101
Pr 2.636 7.421 -0.311
Pr 1.550 4.491 5.392
Pr 4.526 2.401 6.263
Mg 0.588 5.081 2.045
Mg 3.562 3.057 2.910
CELL_PARAMETERS angstrom
5.035 0.000 -1.447
-0.849 7.754 -2.952
-0.037 0.385 9.355
```

B:
The following is a PBE calculation of a relaxed TbPr8Mg2 crystal, from the Alexandria database. Values from VASP.

Computed properties:
total magnetic moment: 0.00 μB/cell
D(E_F): 14.012 states/eV/f.u.

Cell and atoms, written as Quantum ESPRESSO input:
```
&SYSTEM
  ibrav = 0, nat = 11, ntyp = 3
/
ATOMIC_SPECIES
Tb 158.93 Tb.upf
Pr 140.91 Pr.upf
Mg 24.30 Mg.upf
ATOMIC_POSITIONS angstrom
Tb 2.870 0.680 0.000
Pr 5.408 3.024 1.817
Pr 6.498 7.427 6.187
Pr 2.582 4.001 0.000
Pr 5.052 9.487 3.371
Pr 3.961 5.083 4.633
Pr 5.340 6.166 0.000
Pr 2.514 7.143 1.817
Pr 3.605 11.547 6.187
Mg 1.091 4.404 3.098
Mg 2.182 8.807 4.906
CELL_PARAMETERS angstrom
5.740 1.360 0.000
2.181 8.807 0.000
1.091 4.404 8.004
```

Most stable pick: A. Distance to second place: 99 meV per atom.